(1)
# NdZnH8Ir2 (GGA-PBE, relaxed)
data_NdZnH8Ir2
_chemical_formula_sum 'Nd3 Zn3 H24 Ir6'
_cell_length_a 4.6899
_cell_length_b 4.6899
_cell_length_c 16.3864
_cell_angle_alpha 90.00
_cell_angle_beta 90.00
_cell_angle_gamma 120.00
_symmetry_space_group_name_H-M 'R -3 m'
_symmetry_Int_Tables_number 166
_symmetry_space_group_name_Hall '-R 3 2"'
loop_
_atom_site_label
_atom_site_fract_x
_atom_site_fract_y
_atom_site_fract_z
Nd1 0.0000 0.0000 0.0000
Zn1 0.0000 0.0000 0.5000
H1 0.0000 0.0000 0.3172
H2 0.0402 0.5201 0.0770
Ir1 0.0000 0.0000 0.2175
# total magnetic moment = 0.0 μB per formula unit
# V = 312.1 Å³/cell
# electronic total energy = -4.356 eV/atom

(2)
# TbPrTlSn (GGA-PBE, relaxed)
data_TbPrTlSn
_chemical_formula_sum 'Tb4 Pr4 Tl4 Sn4'
_cell_length_a 7.723
_cell_length_b 7.723
_cell_length_c 7.723
_cell_angle_alpha 90.00
_cell_angle_beta 90.00
_cell_angle_gamma 90.00
_symmetry_space_group_name_H-M 'F -4 3 m'
_symmetry_Int_Tables_number 216
_symmetry_space_group_name_Hall 'F -4 2 3'
loop_
_atom_site_label
_atom_site_fract_x
_atom_site_fract_y
_atom_site_fract_z
Tb1 0.000 0.000 0.000
Pr1 0.000 0.000 0.500
Tl1 0.250 0.250 0.250
Sn1 0.250 0.250 0.750
# total magnetic moment = 0.0 μB per formula unit
# relative energy among the computed polymorphs = 73.4 meV per atom
# V = 460.7 Å³/cell
# E_form = -484.4 meV per atom

(3)
# PrMgGe2 (GGA-PBE, relaxed)
data_PrMgGe2
_chemical_formula_sum 'Pr1 Mg1 Ge2'
_cell_length_a 4.588
_cell_length_b 4.588
_cell_length_c 4.224
_cell_angle_alpha 90.00
_cell_angle_beta 90.00
_cell_angle_gamma 90.00
_symmetry_space_group_name_H-M 'P 4/m m m'
_symmetry_Int_Tables_number 123
_symmetry_space_group_name_Hall '-P 4 2'
loop_
_atom_site_label
_atom_site_fract_x
_atom_site_fract_y
_atom_site_fract_z
Pr1 0.000 0.000 0.000
Mg1 0.500 0.500 0.000
Ge1 0.000 0.500 0.500
# total magnetic moment = 0.0 μB per formula unit
# relative energy among the computed polymorphs = 72.1 meV per atom
# V = 88.9 Å³/cell
# E_form = -465.4 meV per atom

(4)
# ScCuSb2 (GGA-PBE, relaxed)
data_ScCuSb2
_chemical_formula_sum 'Sc1 Cu1 Sb2'
_cell_length_a 3.918
_cell_length_b 3.918
_cell_length_c 5.755
_cell_angle_alpha 90.00
_cell_angle_beta 90.00
_cell_angle_gamma 90.00
_symmetry_space_group_name_H-M 'P 4 m m'
_symmetry_Int_Tables_number 99
_symmetry_space_group_name_Hall 'P 4 -2'
loop_
_atom_site_label
_atom_site_fract_x
_atom_site_fract_y
_atom_site_fract_z
Sc1 0.000 0.000 0.000
Cu1 0.500 0.500 0.336
Sb1 0.000 0.000 0.486
Sb2 0.500 0.500 0.849
# total magnetic moment = 0.0 μB per formula unit
# energy relative to the elements, uncorrected = -305.3 meV per atom
# V = 88.4 Å³/cell

(5)
# Hf3ZnB (GGA-PBE, relaxed)
data_Hf3ZnB
_chemical_formula_sum 'Hf3 Zn1 B1'
_cell_length_a 4.550
_cell_length_b 4.550
_cell_length_c 4.550
_cell_angle_alpha 90.00
_cell_angle_beta 90.00
_cell_angle_gamma 90.00
_symmetry_space_group_name_H-M 'P m -3 m'
_symmetry_Int_Tables_number 221
_symmetry_space_group_name_Hall '-P 4 2 3'
loop_
_atom_site_label
_atom_site_fract_x
_atom_site_fract_y
_atom_site_fract_z
Hf1 0.000 0.000 0.500
Zn1 0.500 0.500 0.500
B1 0.000 0.000 0.000
# total magnetic moment = 0.0 μB per formula unit
# relative energy among the computed polymorphs = 0.0 meV per atom
# V = 94.2 Å³/cell
# E_form = -208.0 meV per atom

(6)
# GePH (GGA-PBE, relaxed)
data_GePH
_chemical_formula_sum 'Ge2 P2 H2'
_cell_length_a 3.719
_cell_length_b 3.731
_cell_length_c 7.693
_cell_angle_alpha 78.88
_cell_angle_beta 78.95
_cell_angle_gamma 80.26
_symmetry_space_group_name_H-M 'P -1'
_symmetry_Int_Tables_number 2
_symmetry_space_group_name_Hall '-P 1'
loop_
_atom_site_label
_atom_site_fract_x
_atom_site_fract_y
_atom_site_fract_z
Ge1 0.066 0.065 0.331
P1 0.327 0.327 0.733
H1 0.262 0.261 0.926
# total magnetic moment = 0.0 μB per formula unit
# relative energy among the computed polymorphs = 38.9 meV per atom
# V = 101.8 Å³/cell

(7)
# SmScPd14 (GGA-PBE, relaxed)
data_SmScPd14
_chemical_formula_sum 'Sm1 Sc1 Pd14'
_cell_length_a 5.725
_cell_length_b 5.725
_cell_length_c 7.959
_cell_angle_alpha 90.00
_cell_angle_beta 90.00
_cell_angle_gamma 90.00
_symmetry_space_group_name_H-M 'P 4/m m m'
_symmetry_Int_Tables_number 123
_symmetry_space_group_name_Hall '-P 4 2'
loop_
_atom_site_label
_atom_site_fract_x
_atom_site_fract_y
_atom_site_fract_z
Sm1 0.000 0.000 0.000
Sc1 0.500 0.500 0.000
Pd1 0.000 0.000 0.500
Pd2 0.000 0.500 0.000
Pd3 0.000 0.500 0.500
Pd4 0.254 0.254 0.256
Pd5 0.500 0.500 0.500
# total magnetic moment = 0.0 μB per formula unit
# V = 260.9 Å³/cell
# E_form = -388.1 meV per atom

(8)
# Cs3Ce3PbSe8 (GGA-PBE, relaxed)
data_Cs3Ce3PbSe8
_chemical_formula_sum 'Cs9 Ce9 Pb3 Se24'
_cell_length_a 8.7361
_cell_length_b 8.7361
_cell_length_c 25.1189
_cell_angle_alpha 90.00
_cell_angle_beta 90.00
_cell_angle_gamma 120.00
_symmetry_space_group_name_H-M 'R -3 m'
_symmetry_Int_Tables_number 166
_symmetry_space_group_name_Hall '-R 3 2"'
loop_
_atom_site_label
_atom_site_fract_x
_atom_site_fract_y
_atom_site_fract_z
Cs1 0.0000 0.5000 0.0000
Ce1 0.0000 0.5000 0.5000
Pb1 0.0000 0.0000 0.5000
Se1 0.0000 0.0000 0.2288
Se2 0.0203 0.5102 0.7715
# total magnetic moment = 1.1 μB per formula unit
# energy relative to the elements, uncorrected = -1475.6 meV per atom
# V = 1660.3 Å³/cell

(9)
# Ce4Hg3Pb (GGA-PBE, relaxed)
data_Ce4Hg3Pb
_chemical_formula_sum 'Ce8 Hg6 Pb2'
_cell_length_a 4.133
_cell_length_b 5.337
_cell_length_c 18.737
_cell_angle_alpha 90.00
_cell_angle_beta 90.00
_cell_angle_gamma 90.00
_symmetry_space_group_name_H-M 'I m m m'
_symmetry_Int_Tables_number 71
_symmetry_space_group_name_Hall '-I 2 2'
loop_
_atom_site_label
_atom_site_fract_x
_atom_site_fract_y
_atom_site_fract_z
Ce1 0.000 0.000 0.132
Ce2 0.000 0.500 0.266
Hg1 0.000 0.000 0.372
Hg2 0.000 0.500 0.000
Pb1 0.000 0.500 0.500
# total magnetic moment = 1.0 μB per formula unit
# relative energy among the computed polymorphs = 122.9 meV per atom
# V = 413.3 Å³/cell
# E_form = -198.1 meV per atom

(10)
# TiNi2Hg (GGA-PBE, relaxed)
data_TiNi2Hg
_chemical_formula_sum 'Ti4 Ni8 Hg4'
_cell_length_a 6.819
_cell_length_b 6.819
_cell_length_c 5.478
_cell_angle_alpha 90.00
_cell_angle_beta 90.00
_cell_angle_gamma 90.00
_symmetry_space_group_name_H-M 'I -4 2 d'
_symmetry_Int_Tables_number 122
_symmetry_space_group_name_Hall 'I -4 2bw'
loop_
_atom_site_label
_atom_site_fract_x
_atom_site_fract_y
_atom_site_fract_z
Ti1 0.000 0.000 0.000
Ni1 0.218 0.250 0.125
Hg1 0.000 0.000 0.500
# total magnetic moment = 0.0 μB per formula unit
# relative energy among the computed polymorphs = 418.3 meV per atom
# V = 254.7 Å³/cell
# E_form = 231.2 meV per atom

(11)
# Ca2YNi (GGA-PBE, relaxed)
data_Ca2YNi
_chemical_formula_sum 'Ca8 Y4 Ni4'
_cell_length_a 7.499
_cell_length_b 7.499
_cell_length_c 7.499
_cell_angle_alpha 90.00
_cell_angle_beta 90.00
_cell_angle_gamma 90.00
_symmetry_space_group_name_H-M 'F -4 3 m'
_symmetry_Int_Tables_number 216
_symmetry_space_group_name_Hall 'F -4 2 3'
loop_
_atom_site_label
_atom_site_fract_x
_atom_site_fract_y
_atom_site_fract_z
Ca1 0.000 0.000 0.000
Ca2 0.250 0.250 0.250
Y1 0.250 0.250 0.750
Ni1 0.000 0.000 0.500
# total magnetic moment = 0.0 μB per formula unit
# relative energy among the computed polymorphs = 355.8 meV per atom
# V = 421.6 Å³/cell
# E_form = 249.0 meV per atom

(12)
# K2PPb (GGA-PBE, relaxed)
data_K2PPb
_chemical_formula_sum 'K2 P1 Pb1'
_cell_length_a 3.537
_cell_length_b 5.071
_cell_length_c 6.689
_cell_angle_alpha 90.00
_cell_angle_beta 90.00
_cell_angle_gamma 90.00
_symmetry_space_group_name_H-M 'P m m m'
_symmetry_Int_Tables_number 47
_symmetry_space_group_name_Hall '-P 2 2'
loop_
_atom_site_label
_atom_site_fract_x
_atom_site_fract_y
_atom_site_fract_z
K1 0.000 0.000 0.222
P1 0.500 0.500 0.000
Pb1 0.500 0.500 0.500
# total magnetic moment = 0.0 μB per formula unit
# relative energy among the computed polymorphs = 307.0 meV per atom
# V = 120.0 Å³/cell
# E_form = 72.7 meV per atom

> What is the total magnetic moment in the seventh record?

0.0 μB per formula unit

What did the ninth record say?
# Ce4Hg3Pb (GGA-PBE, relaxed)
data_Ce4Hg3Pb
_chemical_formula_sum 'Ce8 Hg6 Pb2'
_cell_length_a 4.133
_cell_length_b 5.337
_cell_length_c 18.737
_cell_angle_alpha 90.00
_cell_angle_beta 90.00
_cell_angle_gamma 90.00
_symmetry_space_group_name_H-M 'I m m m'
_symmetry_Int_Tables_number 71
_symmetry_space_group_name_Hall '-I 2 2'
loop_
_atom_site_label
_atom_site_fract_x
_atom_site_fract_y
_atom_site_fract_z
Ce1 0.000 0.000 0.132
Ce2 0.000 0.500 0.266
Hg1 0.000 0.000 0.372
Hg2 0.000 0.500 0.000
Pb1 0.000 0.500 0.500
# total magnetic moment = 1.0 μB per formula unit
# relative energy among the computed polymorphs = 122.9 meV per atom
# V = 413.3 Å³/cell
# E_form = -198.1 meV per atom

What did the twelfth record say?
# K2PPb (GGA-PBE, relaxed)
data_K2PPb
_chemical_formula_sum 'K2 P1 Pb1'
_cell_length_a 3.537
_cell_length_b 5.071
_cell_length_c 6.689
_cell_angle_alpha 90.00
_cell_angle_beta 90.00
_cell_angle_gamma 90.00
_symmetry_space_group_name_H-M 'P m m m'
_symmetry_Int_Tables_number 47
_symmetry_space_group_name_Hall '-P 2 2'
loop_
_atom_site_label
_atom_site_fract_x
_atom_site_fract_y
_atom_site_fract_z
K1 0.000 0.000 0.222
P1 0.500 0.500 0.000
Pb1 0.500 0.500 0.500
# total magnetic moment = 0.0 μB per formula unit
# relative energy among the computed polymorphs = 307.0 meV per atom
# V = 120.0 Å³/cell
# E_form = 72.7 meV per atom

> total magnetic moment of number 1 (NdZnH8Ir2)?

0.0 μB per formula unit